No. 1
A plane-wave DFT calculation with PBE was carried out for a relaxed structure of YThSc2Bi4.

Cell lengths 7.6055, 4.4238, 7.6406 Å; angles 90.00, 109.58, 90.00 degrees
Closest atoms and distances in Å follow each position.
Space group P2/m (No. 10)
Inequivalent atoms, fractional coordinates:
Y1 0.0000 0.0000 0.0000 (multiplicity 1)  6 Bi 3.18
Th1 0.0000 0.5000 0.5000 (multiplicity 1)  6 Bi 3.21-3.22
Sc1 0.5000 0.0000 0.5000 (multiplicity 1)  6 Bi 3.06
Sc2 0.5000 0.5000 0.0000 (multiplicity 1)  6 Bi 3.02
Bi1 0.2681 0.5000 0.2521 (multiplicity 2)  3 Sc 3.02-3.06, 2 Y 3.18, 1 Th 3.21
Bi2 0.2716 0.0000 0.7616 (multiplicity 2)  3 Sc 3.02-3.06, 1 Y 3.18, 2 Th 3.22

Results
**Energy of formation**: -699 meV/atom
**Spin magnetization**: 0.0 μB per formula unit


No. 2
A plane-wave DFT calculation with PBE was carried out for a relaxed structure of Y2ThScBi4.

Cell lengths 7.7167, 4.4812, 7.7506 Å; angles 90.00, 109.52, 90.00 degrees
Closest atoms and distances in Å follow each position.
Space group P2/m (No. 10)
Inequivalent atoms, fractional coordinates:
Y1 0.0000 0.0000 0.0000 (multiplicity 1)  6 Bi 3.22
Y2 0.5000 0.5000 0.0000 (multiplicity 1)  6 Bi 3.12
Th1 0.0000 0.5000 0.5000 (multiplicity 1)  6 Bi 3.20
Sc1 0.5000 0.0000 0.5000 (multiplicity 1)  6 Bi 3.10
Bi1 0.2614 0.0000 0.7515 (multiplicity 2)  1 Sc 3.10, 3 Y 3.12-3.22, 2 Th 3.20
Bi2 0.2627 0.5000 0.2570 (multiplicity 2)  2 Sc 3.10, 3 Y 3.12-3.22, 1 Th 3.20

Results
**Energy of formation**: -746 meV/atom
**Spin magnetization**: 0.0 μB per formula unit


No. 3
A plane-wave DFT calculation with PBE was carried out for a relaxed structure of YTh2ScBi5.

Cell lengths 5.4569, 5.4569, 11.3825 Å; angles 90.00, 90.00, 90.00 degrees
Closest atoms and distances in Å follow each position.
Space group P4/mmm (No. 123)
Inequivalent atoms, fractional coordinates:
Y1 0.0000 0.0000 0.0000 (multiplicity 1)  6 Bi 2.73-2.96
Th1 0.5000 0.5000 0.2015 (multiplicity 2)  5 Bi 3.40-3.56
Sc1 0.0000 0.0000 0.5000 (multiplicity 1)  2 Bi 2.73
Bi1 0.0000 0.0000 0.2603 (multiplicity 2)  1 Sc 2.73, 1 Y 2.96
Bi2 0.0000 0.5000 0.0000 (multiplicity 2)  2 Y 2.73
Bi3 0.5000 0.5000 0.5000 (multiplicity 1)  2 Th 3.40

Results
**Energy of formation**: 75 meV/atom
**Spin magnetization**: 0.0 μB per formula unit


No. 4
A plane-wave DFT calculation with PBE was carried out for a relaxed structure of ScTi2Bi2.

Cell lengths 7.8183, 7.8183, 3.6774 Å; angles 90.00, 90.00, 90.00 degrees
Closest atoms and distances in Å follow each position.
Space group P4/mbm (No. 127)
Inequivalent atoms, fractional coordinates:
Sc1 0.0000 0.0000 0.0000 (multiplicity 2)  4 Bi 2.97
Ti1 0.1404 0.3596 0.5000 (multiplicity 4)  6 Bi 2.93-2.94, 1 Ti 3.11
Bi1 0.1528 0.6528 0.0000 (multiplicity 4)  6 Ti 2.93-2.94, 2 Sc 2.97

Results
**ΔE to the lowest computed polymorph**: 0 meV/atom
**Energy of formation**: -173 meV/atom
**Spin magnetization**: 0.0 μB per formula unit


No. 5
A plane-wave DFT calculation with PBE was carried out for a relaxed structure of ScTiBi2.

Cell lengths 6.6360, 6.6360, 13.0175 Å; angles 90.00, 90.00, 90.00 degrees
Closest atoms and distances in Å follow each position.
Space group I-42d (No. 122)
Inequivalent atoms, fractional coordinates:
Sc1 0.0000 0.0000 0.0000 (multiplicity 4)  4 Bi 2.93
Ti1 0.0000 0.0000 0.5000 (multiplicity 4)  4 Bi 2.79
Bi1 0.2320 0.2500 0.6250 (multiplicity 8)  2 Ti 2.79, 2 Sc 2.93

Results
**ΔE to the lowest computed polymorph**: 484 meV/atom
**Energy of formation**: 180 meV/atom
**Spin magnetization**: 1.0 μB per formula unit


No. 6
A plane-wave DFT calculation with PBE was carried out for a relaxed structure of Sc2Ti2Bi.

Cell lengths 7.3163, 7.3163, 4.0965 Å; angles 90.00, 90.00, 90.00 degrees
Closest atoms and distances in Å follow each position.
Space group P4/mbm (No. 127)
Inequivalent atoms, fractional coordinates:
Sc1 0.1592 0.3408 0.0000 (multiplicity 4)  6 Ti 2.96-2.99, 1 Sc 3.29
Ti1 0.1309 0.6309 0.5000 (multiplicity 4)  1 Ti 2.71, 2 Bi 2.87, 6 Sc 2.96-2.99
Bi1 0.0000 0.0000 0.5000 (multiplicity 2)  4 Ti 2.87

Results
**Energy of formation**: -78 meV/atom
**Spin magnetization**: 0.0 μB per formula unit


No. 7
A plane-wave DFT calculation with PBE was carried out for a relaxed structure of ScTiBi2.

Cell lengths 4.1522, 4.1522, 20.6385 Å; angles 90.00, 90.00, 120.00 degrees
Closest atoms and distances in Å follow each position.
Space group R-3m (No. 166, hexagonal axes)
Inequivalent atoms, fractional coordinates:
Sc1 0.0000 0.0000 0.0000 (multiplicity 3)  6 Bi 3.00
Ti1 0.0000 0.0000 0.5000 (multiplicity 3)  6 Bi 2.91
Bi1 0.0000 0.0000 0.2462 (multiplicity 6)  3 Ti 2.91, 3 Sc 3.00

Results
**ΔE to the lowest computed polymorph**: 0 meV/atom
**Energy of formation**: -304 meV/atom
**Spin magnetization**: 0.6 μB per formula unit


No. 8
A plane-wave DFT calculation with PBE was carried out for a relaxed structure of ScTi2Bi.

Cell lengths 7.9368, 7.9368, 5.7634 Å; angles 90.00, 90.00, 90.00 degrees
Closest atoms and distances in Å follow each position.
Space group I-42d (No. 122)
Inequivalent atoms, fractional coordinates:
Sc1 0.0000 0.0000 0.0000 (multiplicity 4)  2 Bi 2.88, 4 Ti 2.98
Ti1 0.2344 0.2500 0.6250 (multiplicity 8)  2 Bi 2.81, 2 Ti 2.89, 2 Sc 2.98
Bi1 0.0000 0.0000 0.5000 (multiplicity 4)  4 Ti 2.81, 2 Sc 2.88

Results
**Energy of formation**: 358 meV/atom
**Spin magnetization**: 0.0 μB per formula unit


Question: The highest spin magnetization belongs to which entry?
Answer: number 5


Question: Number 6 is which compound?
Answer: Sc2Ti2Bi


Question: spin magnetization of number 7 (ScTiBi2)?
Answer: 0.6 μB per formula unit